No. 1
The following is a GGA-PBE calculation of a relaxed ErSc2RhO crystal, from Alexandria.

Cell and atoms, written as POSCAR:
```
ErSc2RhO
1.0
4.2720 0.0000 0.0000
0.0000 4.2720 0.0000
0.0000 0.0000 4.8091
Er Sc Rh O
1 2 1 1
direct
0.0000 0.0000 0.0000
0.0000 0.5000 0.4913
0.5000 0.0000 0.4913
0.5000 0.5000 0.0384
0.0000 0.0000 0.5086
```

uncorrected formation energy	-1497	meV per atom
total moment	0.000	μB/atom
DFT total energy	-7.405	eV per atom

***

No. 2
The following is a GGA-PBE calculation of a relaxed Sr3ErRhO6 crystal, from Alexandria.

Cell and atoms, written as POSCAR:
```
Sr3ErRhO6
1.0
4.9314 2.8471 3.7938
-4.9314 2.8471 3.7938
0.0000 -5.6943 3.7938
Sr Er Rh O
6 2 2 12
direct
0.1187 0.7500 0.3813
0.2500 0.6187 0.8813
0.3813 0.1187 0.7500
0.6187 0.8813 0.2500
0.7500 0.3813 0.1187
0.8813 0.2500 0.6187
0.2500 0.2500 0.2500
0.7500 0.7500 0.7500
0.0000 0.0000 0.0000
0.5000 0.5000 0.5000
0.0421 0.9076 0.7078
0.0924 0.2922 0.9579
0.2078 0.4076 0.5420
0.2922 0.9579 0.0924
0.4076 0.5421 0.2078
0.4579 0.7922 0.5924
0.5421 0.2078 0.4076
0.5924 0.4580 0.7922
0.7078 0.0421 0.9076
0.7922 0.5924 0.4579
0.9076 0.7078 0.0421
0.9579 0.0924 0.2922
```

uncorrected formation energy	-2565	meV per atom
total moment	0.000	μB/atom
DFT total energy	-6.811	eV per atom

***

No. 3
The following is a GGA-PBE calculation of a relaxed SrEr2RhO5 crystal, from Alexandria.

Cell and atoms, written as POSCAR:
```
SrEr2RhO5
1.0
-1.9356 2.8263 5.7991
1.9356 -2.8263 5.7991
1.9356 2.8263 -5.7991
Sr Er Rh O
1 2 1 5
direct
0.0000 0.0000 0.0000
0.2970 0.7970 0.5000
0.7030 0.2030 0.5000
0.5000 0.5000 0.0000
0.1008 0.3450 0.7558
0.4108 0.6550 0.7558
0.5000 0.0000 0.5000
0.5892 0.3450 0.2442
0.8992 0.6550 0.2442
```

uncorrected formation energy	-2501	meV per atom
total moment	0.145	μB/atom
DFT total energy	-7.273	eV per atom

***

No. 4
The following is a GGA-PBE calculation of a relaxed ErTl2RhO6 crystal, from Alexandria.

Cell and atoms, written as POSCAR:
```
ErTl2RhO6
1.0
2.8461 1.6432 4.8522
-2.8461 1.6432 4.8522
0.0000 -3.2864 4.8522
Er Tl Rh O
1 2 1 6
direct
0.0000 0.0000 0.0000
0.2637 0.2637 0.2637
0.7772 0.7772 0.7772
0.4925 0.4925 0.4925
0.1447 0.7073 0.3730
0.2402 0.6219 0.8399
0.3730 0.1447 0.7073
0.6219 0.8399 0.2402
0.7073 0.3730 0.1447
0.8399 0.2402 0.6219
```

uncorrected formation energy	-1383	meV per atom
total moment	0.000	μB/atom
DFT total energy	-6.023	eV per atom

***

No. 5
The following is a GGA-PBE calculation of a relaxed Er4Ru6O19 crystal, from Alexandria.

Cell and atoms, written as POSCAR:
```
Er4Ru6O19
1.0
-4.4659 4.4659 4.4659
4.4659 -4.4659 4.4659
4.4659 4.4659 -4.4659
Er Ru O
4 6 19
direct
0.0000 0.0000 0.2934
0.0000 0.2934 0.0000
0.2934 0.0000 0.0000
0.7066 0.7066 0.7066
0.1396 0.5000 0.6396
0.3604 0.8604 0.5000
0.5000 0.3604 0.8604
0.5000 0.6396 0.1396
0.6396 0.1396 0.5000
0.8604 0.5000 0.3604
0.0000 0.0000 0.0000
0.0000 0.3181 0.3181
0.0000 0.6819 0.6819
0.0549 0.7543 0.3744
0.2457 0.3006 0.6201
0.3006 0.6201 0.2457
0.3181 0.0000 0.3181
0.3181 0.3181 0.0000
0.3195 0.6994 0.9451
0.3744 0.0549 0.7543
0.3799 0.6805 0.6256
0.6201 0.2457 0.3006
0.6256 0.3799 0.6805
0.6805 0.6256 0.3799
0.6819 0.0000 0.6819
0.6819 0.6819 0.0000
0.6994 0.9451 0.3195
0.7543 0.3744 0.0549
0.9451 0.3195 0.6994
```

uncorrected formation energy	-1782	meV per atom
total moment	0.283	μB/atom
DFT total energy	-7.579	eV per atom

***

No. 6
The following is a GGA-PBE calculation of a relaxed Er3RuO7 crystal, from Alexandria.

Cell and atoms, written as POSCAR:
```
Er3RuO7
1.0
3.7291 -5.2044 0.0000
3.7291 5.2044 0.0000
0.0000 0.0000 7.3460
Er Ru O
6 2 14
direct
0.0309 0.0309 0.0000
0.0368 0.4990 0.2564
0.4990 0.0368 0.7436
0.5010 0.9632 0.2436
0.9632 0.5010 0.7564
0.9691 0.9691 0.5000
0.5000 0.5000 0.0000
0.5000 0.5000 0.5000
0.1301 0.8699 0.7500
0.1385 0.8615 0.2500
0.1722 0.4187 0.9743
0.1882 0.4415 0.5388
0.4187 0.1722 0.0257
0.4266 0.5734 0.2500
0.4415 0.1882 0.4612
0.5585 0.8118 0.9612
0.5734 0.4266 0.7500
0.5813 0.8278 0.5257
0.8118 0.5585 0.0388
0.8278 0.5813 0.4743
0.8615 0.1385 0.7500
0.8699 0.1301 0.2500
```

uncorrected formation energy	-2776	meV per atom
total moment	0.273	μB/atom
DFT total energy	-8.019	eV per atom

***

No. 7
The following is a GGA-PBE calculation of a relaxed Er6RuO12 crystal, from Alexandria.

Cell and atoms, written as POSCAR:
```
Er6RuO12
1.0
4.8598 2.8058 3.0953
-4.8598 2.8058 3.0953
0.0000 -5.6116 3.0953
Er Ru O
6 1 12
direct
0.1115 0.8144 0.6435
0.1856 0.3565 0.8885
0.3565 0.8885 0.1856
0.6435 0.1115 0.8144
0.8144 0.6435 0.1115
0.8885 0.1856 0.3565
0.5000 0.5000 0.5000
0.0673 0.9097 0.3225
0.0903 0.6775 0.9327
0.2002 0.4256 0.5363
0.3225 0.0673 0.9097
0.4256 0.5363 0.2002
0.4637 0.7998 0.5744
0.5363 0.2002 0.4256
0.5744 0.4637 0.7998
0.6775 0.9327 0.0903
0.7998 0.5744 0.4637
0.9097 0.3225 0.0673
0.9327 0.0903 0.6775
```

uncorrected formation energy	-3044	meV per atom
total moment	0.105	μB/atom
DFT total energy	-8.105	eV per atom

***

No. 8
The following is a GGA-PBE calculation of a relaxed ErRu2O8 crystal, from Alexandria.

Cell and atoms, written as POSCAR:
```
ErRu2O8
1.0
0.0000 4.7223 4.7223
4.7223 0.0000 4.7223
4.7223 4.7223 0.0000
Er Ru O
1 2 8
direct
0.0000 0.0000 0.0000
0.2500 0.2500 0.2500
0.7500 0.7500 0.7500
0.1422 0.1422 0.1422
0.1422 0.1422 0.5734
0.1422 0.5734 0.1422
0.4266 0.8578 0.8578
0.5734 0.1422 0.1422
0.8578 0.4266 0.8578
0.8578 0.8578 0.4266
0.8578 0.8578 0.8578
```

uncorrected formation energy	-1316	meV per atom
total moment	0.000	μB/atom
DFT total energy	-7.023	eV per atom

***

No. 9
The following is a GGA-PBE calculation of a relaxed ErScRuO6 crystal, from Alexandria.

Cell and atoms, written as POSCAR:
```
ErScRuO6
1.0
5.2586 0.0000 0.0000
-2.6293 4.5540 0.0000
0.0000 0.0000 9.5948
Er Sc Ru O
2 2 2 12
direct
0.0000 0.0000 0.0000
0.0000 0.0000 0.5000
0.3333 0.6667 0.2500
0.6667 0.3333 0.7500
0.3333 0.6667 0.7500
0.6667 0.3333 0.2500
0.0236 0.3636 0.6367
0.0236 0.6600 0.8633
0.3400 0.3636 0.8633
0.3400 0.9764 0.6367
0.3636 0.0236 0.1367
0.3636 0.3400 0.3633
0.6364 0.6600 0.6367
0.6364 0.9764 0.8633
0.6600 0.0236 0.3633
0.6600 0.6364 0.1367
0.9764 0.3400 0.1367
0.9764 0.6364 0.3633
```

uncorrected formation energy	-2292	meV per atom
total moment	0.224	μB/atom
DFT total energy	-7.838	eV per atom

***

No. 10
The following is a GGA-PBE calculation of a relaxed SmEr2RuO8 crystal, from Alexandria.

Cell and atoms, written as POSCAR:
```
SmEr2RuO8
1.0
5.0282 0.0000 0.0000
0.0000 6.7840 0.0000
-0.0064 0.0000 5.0367
Sm Er Ru O
1 2 1 8
direct
0.0000 0.0000 0.0000
0.5000 0.2492 0.5000
0.5000 0.7508 0.5000
0.0000 0.5000 0.0000
0.1876 0.2938 0.1853
0.1876 0.7062 0.1853
0.2670 0.5000 0.7309
0.3131 0.0000 0.6846
0.6869 0.0000 0.3154
0.7330 0.5000 0.2691
0.8124 0.2938 0.8147
0.8124 0.7062 0.8147
```

uncorrected formation energy	-2391	meV per atom
total moment	0.086	μB/atom
DFT total energy	-7.623	eV per atom

***

No. 11
The following is a GGA-PBE calculation of a relaxed SrErRu2O8 crystal, from Alexandria.

Cell and atoms, written as POSCAR:
```
SrErRu2O8
1.0
5.8675 0.0000 0.0000
-2.9338 5.0814 0.0000
0.0000 0.0000 7.1713
Sr Er Ru O
1 1 2 8
direct
0.0000 0.0000 0.0000
0.0000 0.0000 0.5000
0.3333 0.6667 0.7851
0.6667 0.3333 0.2149
0.1616 0.3231 0.7088
0.1616 0.8384 0.7088
0.3231 0.1616 0.2912
0.3333 0.6667 0.0325
0.6667 0.3333 0.9675
0.6769 0.8384 0.7088
0.8384 0.1616 0.2912
0.8384 0.6769 0.2912
```

uncorrected formation energy	-1662	meV per atom
total moment	0.251	μB/atom
DFT total energy	-7.033	eV per atom

***

No. 12
The following is a GGA-PBE calculation of a relaxed SrEr2RuO8 crystal, from Alexandria.

Cell and atoms, written as POSCAR:
```
SrEr2RuO8
1.0
4.3113 0.0000 0.0000
0.1898 5.1058 0.0000
1.9737 0.0488 6.6753
Sr Er Ru O
1 2 1 8
direct
0.0000 0.0000 0.0000
0.3931 0.5207 0.2852
0.6069 0.4793 0.7148
0.0000 0.0000 0.5000
0.1696 0.3117 0.5935
0.2254 0.7811 0.6295
0.2390 0.4965 0.0071
0.3519 0.9747 0.2504
0.6481 0.0253 0.7496
0.7610 0.5035 0.9929
0.7746 0.2189 0.3705
0.8304 0.6883 0.4065
```

uncorrected formation energy	-2150	meV per atom
total moment	0.095	μB/atom
DFT total energy	-7.129	eV per atom

***

No. 13
The following is a GGA-PBE calculation of a relaxed Er2Tl2RuO6 crystal, from Alexandria.

Cell and atoms, written as POSCAR:
```
Er2Tl2RuO6
1.0
2.8702 -4.9707 0.0000
2.8702 4.9707 0.0000
-1.6839 0.0000 6.5661
Er Tl Ru O
2 2 1 6
direct
0.1652 0.8348 0.0000
0.8348 0.1652 0.0000
0.3374 0.6626 0.5000
0.6626 0.3374 0.5000
0.5000 0.5000 0.0000
0.1436 0.4553 0.8380
0.2446 0.2446 0.1686
0.4553 0.1436 0.8380
0.5447 0.8564 0.1620
0.7554 0.7554 0.8314
0.8564 0.5447 0.1620
```

uncorrected formation energy	-1942	meV per atom
total moment	0.182	μB/atom
DFT total energy	-6.749	eV per atom

***

No. 14
The following is a GGA-PBE calculation of a relaxed ErTlRu2O8 crystal, from Alexandria.

Cell and atoms, written as POSCAR:
```
ErTlRu2O8
1.0
4.7647 -3.0349 0.0000
4.7647 3.0349 0.0000
-0.2876 0.0000 8.2244
Er Tl Ru O
1 1 2 8
direct
0.0000 0.0000 0.0000
0.0000 0.0000 0.5000
0.3646 0.3646 0.2258
0.6354 0.6354 0.7742
0.2214 0.7145 0.1948
0.2250 0.2250 0.0734
0.2855 0.7786 0.8052
0.3009 0.3009 0.4229
0.6991 0.6991 0.5771
0.7145 0.2214 0.1948
0.7750 0.7750 0.9266
0.7786 0.2855 0.8052
```

uncorrected formation energy	-1332	meV per atom
total moment	0.336	μB/atom
DFT total energy	-6.761	eV per atom

***

No. 15
The following is a GGA-PBE calculation of a relaxed ErTlRuO6 crystal, from Alexandria.

Cell and atoms, written as POSCAR:
```
ErTlRuO6
1.0
5.4876 0.0000 0.0000
-2.7438 4.7524 0.0000
0.0000 0.0000 4.6853
Er Tl Ru O
1 1 1 6
direct
0.0000 0.0000 0.0000
0.3333 0.6667 0.5000
0.6667 0.3333 0.0000
0.3696 0.0456 0.7658
0.3696 0.3241 0.2342
0.6759 0.0456 0.2342
0.6759 0.6304 0.7658
0.9544 0.3241 0.7658
0.9544 0.6304 0.2342
```

uncorrected formation energy	-1422	meV per atom
total moment	0.161	μB/atom
DFT total energy	-6.528	eV per atom

***

No. 16
The following is a GGA-PBE calculation of a relaxed YErRuO6 crystal, from Alexandria.

Cell and atoms, written as POSCAR:
```
YErRuO6
1.0
5.4482 0.0000 0.0000
-2.7241 4.7183 0.0000
0.0000 0.0000 9.5326
Y Er Ru O
2 2 2 12
direct
0.0000 0.0000 0.0000
0.0000 0.0000 0.5000
0.3333 0.6667 0.2500
0.6667 0.3333 0.7500
0.3333 0.6667 0.7500
0.6667 0.3333 0.2500
0.0397 0.3693 0.6349
0.0397 0.6704 0.8651
0.3296 0.3693 0.8651
0.3296 0.9603 0.6349
0.3693 0.0397 0.1349
0.3693 0.3296 0.3651
0.6307 0.6704 0.6349
0.6307 0.9603 0.8651
0.6704 0.0397 0.3651
0.6704 0.6307 0.1349
0.9603 0.3296 0.1349
0.9603 0.6307 0.3651
```

uncorrected formation energy	-2280	meV per atom
total moment	0.224	μB/atom
DFT total energy	-7.842	eV per atom

***

No. 17
The following is a GGA-PBE calculation of a relaxed Er2SO2 crystal, from Alexandria.

Cell and atoms, written as POSCAR:
```
Er2SO2
1.0
6.0048 -2.0212 0.0000
6.0048 2.0212 0.0000
-3.8782 0.0000 7.9133
Er S O
4 2 4
direct
0.0082 0.0082 0.2849
0.3364 0.3364 0.9299
0.6636 0.6636 0.0701
0.9918 0.9918 0.7151
0.1641 0.1641 0.6121
0.8359 0.8359 0.3879
0.1585 0.1585 0.9744
0.4758 0.4758 0.8182
0.5242 0.5242 0.1818
0.8415 0.8415 0.0256
```

uncorrected formation energy	-3025	meV per atom
total moment	0.000	μB/atom
DFT total energy	-7.659	eV per atom

***

No. 18
The following is a GGA-PBE calculation of a relaxed Er2S2O crystal, from Alexandria.

Cell and atoms, written as POSCAR:
```
Er2S2O
1.0
1.8832 -7.2787 0.0000
1.8832 7.2787 0.0000
0.0000 0.0000 6.9891
Er S O
4 4 2
direct
0.0501 0.9499 0.5000
0.3342 0.6658 0.3916
0.6658 0.3342 0.8916
0.9499 0.0501 0.0000
0.2971 0.7029 0.0173
0.4490 0.5510 0.6901
0.5510 0.4490 0.1901
0.7029 0.2971 0.5173
0.0934 0.9066 0.8273
0.9066 0.0934 0.3273
```

uncorrected formation energy	-2602	meV per atom
total moment	0.000	μB/atom
DFT total energy	-7.069	eV per atom

***

No. 19
The following is a GGA-PBE calculation of a relaxed Er2SO2 crystal, from Alexandria.

Cell and atoms, written as POSCAR:
```
Er2SO2
1.0
3.7666 0.0000 0.0000
-1.8833 3.2620 0.0000
0.0000 0.0000 6.5616
Er S O
2 1 2
direct
0.3333 0.6667 0.2828
0.6667 0.3333 0.7172
0.0000 0.0000 0.0000
0.3333 0.6667 0.6296
0.6667 0.3333 0.3704
```

uncorrected formation energy	-3232	meV per atom
total moment	0.000	μB/atom
DFT total energy	-7.866	eV per atom